[1]
## Dy4TlCo (PBE)

Data for a relaxed Dy4TlCo crystal.

Summary:
The calculation puts the total energy at -29.4 eV per formula unit. The total moment is 0.0 Bohr magnetons per cell. As for the density of states at the Fermi level: 70.1 states/eV per cell.

Cell lengths 13.513, 13.513, 13.513 Å; angles 90.00, 90.00, 90.00 degrees
Space group F-43m (No. 216)
Symmetry-distinct sites (fractional):
Dy  0.000  0.000  0.188 (multiplicity 24)
Dy  0.059  0.250  0.750 (multiplicity 24)
Dy  0.153  0.153  0.347 (multiplicity 16)
Tl  0.085  0.085  0.585 (multiplicity 16)
Co  0.141  0.141  0.141 (multiplicity 16)

[2]
## La2MnIn (PBE)

Data for a relaxed La2MnIn crystal.

Summary:
The calculation puts the total energy at -21.6 eV per formula unit. The total moment is 3.4 Bohr magnetons per cell. As for the density of states at the Fermi level: 4.8 states/eV per cell.

Cell lengths 3.499, 3.499, 9.034 Å; angles 90.00, 90.00, 90.00 degrees
Space group P4mm (No. 99)
Symmetry-distinct sites (fractional):
La  0.000  0.000  0.000 (multiplicity 1)
La  0.500  0.500  0.346 (multiplicity 1)
Mn  0.000  0.000  0.571 (multiplicity 1)
In  0.500  0.500  0.738 (multiplicity 1)

What is the formula in the first record? Dy4TlCo

Among the records above, which one has the lowest total moment? Dy4TlCo

Among the records above, which one has the highest total moment? La2MnIn